# 1
Compound: Ac3Pb2F
Source: Alexandria via LeMat-Bulk
Functional: PBE-GGA
Structure: relaxed

Crystal system ... monoclinic

Lattice parameters (Å, degrees): 7.7699 7.7699 9.0402 98.56 98.56 52.04
With the nearest neighbours (Å) after each atom.
Element x y z (fractional)
Ac  0.1205  0.8795  0.7500  1 F 2.49
Ac  0.2264  0.4529  0.3322  1 F 2.62
Ac  0.4529  0.2264  0.8322  1 F 2.62
Ac  0.5471  0.7736  0.1678  1 F 2.62
Ac  0.7736  0.5471  0.6678  1 F 2.62
Ac  0.8795  0.1205  0.2500  1 F 2.49
Pb  0.0572  0.2642  0.0134  1 Pb 3.24, 5 Ac 3.35-3.62
Pb  0.2642  0.0572  0.5134  1 Pb 3.24, 5 Ac 3.35-3.62
Pb  0.7358  0.9428  0.4866  1 Pb 3.24, 5 Ac 3.35-3.62
Pb  0.9428  0.7358  0.9866  1 Pb 3.24, 5 Ac 3.35-3.62
F  0.4852  0.5148  0.7500  3 Ac 2.49-2.62
F  0.5148  0.4852  0.2500  3 Ac 2.49-2.62

# 2
Compound: Ac2PbF
Source: Alexandria via LeMat-Bulk
Functional: PBE-GGA
Structure: relaxed

Crystal system ... tetragonal
E above lowest polymorph ... 0.3418 eV per atom

Lattice parameters (Å, degrees): 3.7504 3.7504 8.4540 90.00 90.00 90.00
With the nearest neighbours (Å) after each atom.
Element x y z (fractional)
Ac  0.0000  0.0000  0.2309  4 F 3.29, 4 Pb 3.49
Ac  0.0000  0.0000  0.7691  4 F 3.29, 4 Pb 3.49
Pb  0.5000  0.5000  0.5000  8 Ac 3.49, 4 Pb 3.75
F  0.5000  0.5000  0.0000  8 Ac 3.29

# 3
Compound: AcPb2F11
Source: Alexandria via LeMat-Bulk
Functional: PBE-GGA
Structure: relaxed

Crystal system ... orthorhombic

Lattice parameters (Å, degrees): 8.8093 8.8093 8.8093 125.04 106.64 98.02
With the nearest neighbours (Å) after each atom.
Element x y z (fractional)
Ac  0.2500  0.2500  0.0000  8 F 2.50-2.52
Ac  0.7500  0.7500  0.0000  8 F 2.50-2.52
Pb  0.1808  0.6352  0.8159  7 F 2.12-2.20
Pb  0.3192  0.1352  0.4544  7 F 2.12-2.20
Pb  0.6808  0.8648  0.5456  7 F 2.12-2.20
Pb  0.8192  0.3648  0.1841  7 F 2.12-2.20
F  0.0000  0.5000  0.5000  2 Pb 2.20
F  0.0507  0.9632  0.2866  1 Pb 2.12
F  0.0533  0.3661  0.1628  1 Pb 2.12
F  0.1766  0.4632  0.9124  1 Pb 2.12
F  0.2033  0.8905  0.8372  1 Pb 2.12
F  0.2140  0.3696  0.5837  2 Pb 2.19-2.20
F  0.2860  0.8696  0.1556  2 Pb 2.19-2.20
F  0.2967  0.1339  0.6872  1 Pb 2.12
F  0.3234  0.2358  0.2866  1 Pb 2.12
F  0.4467  0.6095  0.3128  1 Pb 2.12
F  0.4493  0.7358  0.9124  1 Pb 2.12
F  0.5000  0.0000  0.5000  2 Pb 2.20
F  0.5507  0.2642  0.0876  1 Pb 2.12
F  0.5533  0.3905  0.6872  1 Pb 2.12
F  0.6766  0.7642  0.7134  1 Pb 2.12
F  0.7033  0.8661  0.3128  1 Pb 2.12
F  0.7140  0.1304  0.8444  2 Pb 2.19-2.20
F  0.7860  0.6304  0.4163  2 Pb 2.19-2.20
F  0.7967  0.1095  0.1628  1 Pb 2.12
F  0.8234  0.5368  0.0876  1 Pb 2.12
F  0.9467  0.6339  0.8372  1 Pb 2.12
F  0.9493  0.0368  0.7134  1 Pb 2.12

# 4
Compound: Ac2PbF
Source: Alexandria via LeMat-Bulk
Functional: PBE-GGA
Structure: relaxed

Crystal system ... monoclinic
E above lowest polymorph ... 0.0000 eV per atom

Lattice parameters (Å, degrees): 9.5628 7.0081 8.1314 90.00 105.12 90.00
With the nearest neighbours (Å) after each atom.
Element x y z (fractional)
Ac  0.0972  0.2208  0.4754  2 F 2.65-2.75
Ac  0.0972  0.2792  0.9754  2 F 2.65-2.75
Ac  0.3185  0.6714  0.3815  2 F 2.56-2.57
Ac  0.3185  0.8286  0.8815  2 F 2.56-2.57
Ac  0.6815  0.1714  0.1185  2 F 2.56-2.57
Ac  0.6815  0.3286  0.6185  2 F 2.56-2.57
Ac  0.9028  0.7208  0.0246  2 F 2.65-2.75
Ac  0.9028  0.7792  0.5246  2 F 2.65-2.75
Pb  0.3883  0.1514  0.2961  6 Ac 3.40-3.80
Pb  0.3883  0.3486  0.7961  6 Ac 3.40-3.80
Pb  0.6117  0.6514  0.2039  6 Ac 3.40-3.80
Pb  0.6117  0.8486  0.7039  6 Ac 3.40-3.80
F  0.1817  0.6477  0.0653  4 Ac 2.56-2.75
F  0.1817  0.8523  0.5653  4 Ac 2.56-2.75
F  0.8183  0.1477  0.4347  4 Ac 2.56-2.75
F  0.8183  0.3523  0.9347  4 Ac 2.56-2.75

# 5
Compound: AcPbF6
Source: Alexandria via LeMat-Bulk
Functional: PBE-GGA
Structure: relaxed

Crystal system ... monoclinic

Lattice parameters (Å, degrees): 4.3039 4.3039 7.2385 101.45 101.45 73.78
With the nearest neighbours (Å) after each atom.
Element x y z (fractional)
Ac  0.0000  0.0000  0.0000  6 F 2.35-2.63
Pb  0.5000  0.5000  0.5000  4 F 2.29
F  0.0845  0.6090  0.6753  1 Pb 2.29, 2 F 2.46-2.56
F  0.3524  0.3524  0.0696  1 Ac 2.35, 1 F 2.48
F  0.3910  0.9155  0.3247  1 Pb 2.29, 2 F 2.46-2.56
F  0.6090  0.0845  0.6753  1 Pb 2.29, 2 F 2.46-2.56
F  0.6476  0.6476  0.9304  1 Ac 2.35, 1 F 2.48
F  0.9155  0.3910  0.3247  1 Pb 2.29, 2 F 2.46-2.56

# 6
Compound: Ac2PbF8
Source: Alexandria via LeMat-Bulk
Functional: PBE-GGA
Structure: relaxed

Crystal system ... orthorhombic

Lattice parameters (Å, degrees): 7.4373 7.4373 7.4373 146.83 132.23 59.39
With the nearest neighbours (Å) after each atom.
Element x y z (fractional)
Ac  0.1770  0.1770  0.0000  10 F 2.57-2.75
Ac  0.8230  0.8230  0.0000  10 F 2.57-2.75
Pb  0.5000  0.5000  0.0000  8 F 2.51-2.72
F  0.0850  0.3502  0.7348  1 Pb 2.51, 3 F 2.52-2.70, 3 Ac 2.57-2.75
F  0.2179  0.0000  0.2179  5 F 2.62-2.87, 2 Ac 2.64, 2 Pb 2.72
F  0.3114  0.8114  0.5000  6 F 2.52-2.70, 2 Ac 2.74
F  0.3846  0.6498  0.7348  1 Pb 2.51, 3 F 2.52-2.70, 3 Ac 2.57-2.75
F  0.6154  0.3502  0.2652  1 Pb 2.51, 3 F 2.52-2.70, 3 Ac 2.57-2.75
F  0.6886  0.1886  0.5000  6 F 2.52-2.70, 2 Ac 2.74
F  0.7821  0.0000  0.7821  5 F 2.62-2.87, 2 Ac 2.64, 2 Pb 2.72
F  0.9150  0.6498  0.2652  1 Pb 2.51, 3 F 2.52-2.70, 3 Ac 2.57-2.75

# 7
Compound: Ac4Pb2F
Source: Alexandria via LeMat-Bulk
Functional: PBE-GGA
Structure: relaxed

Crystal system ... tetragonal

Lattice parameters (Å, degrees): 10.0855 10.0855 10.0855 150.39 150.39 42.36
With the nearest neighbours (Å) after each atom.
Element x y z (fractional)
Ac  0.0000  0.5000  0.5000  2 F 2.58
Ac  0.1846  0.1846  0.0000  5 Pb 3.44-3.77, 1 F 3.47
Ac  0.5000  0.0000  0.5000  2 F 2.58
Ac  0.8154  0.8154  0.0000  5 Pb 3.44-3.77, 1 F 3.47
Pb  0.3676  0.3676  0.0000  9 Ac 3.44-3.77
Pb  0.6324  0.6324  0.0000  9 Ac 3.44-3.77
F  0.0000  0.0000  0.0000  4 Ac 2.58

# 8
Compound: Ac2PbF
Source: Alexandria via LeMat-Bulk
Functional: PBE-GGA
Structure: relaxed

Crystal system ... trigonal
E above lowest polymorph ... 0.1035 eV per atom

Lattice parameters (Å, degrees): 7.2536 7.2536 7.2536 37.42 37.42 37.42
With the nearest neighbours (Å) after each atom.
Element x y z (fractional)
Ac  0.2394  0.2394  0.2394  3 F 3.06, 3 Pb 3.29
Ac  0.7606  0.7606  0.7606  3 F 3.06, 3 Pb 3.29
Pb  0.0000  0.0000  0.0000  6 Ac 3.29
F  0.5000  0.5000  0.5000  6 Ac 3.06

# 9
Compound: AcPb2F8
Source: Alexandria via LeMat-Bulk
Functional: PBE-GGA
Structure: relaxed

Crystal system ... monoclinic
E above lowest polymorph ... 0.0000 eV per atom

Lattice parameters (Å, degrees): 7.6449 7.6449 5.9151 110.52 110.52 31.29
With the nearest neighbours (Å) after each atom.
Element x y z (fractional)
Ac  0.0000  0.0000  0.0000  8 F 2.50-2.60
Pb  0.3203  0.3203  0.3216  5 F 2.34-2.55
Pb  0.6797  0.6797  0.6784  5 F 2.34-2.55
F  0.0988  0.0988  0.4529  2 Pb 2.51, 1 Ac 2.54, 2 F 2.72-2.79
F  0.1699  0.1699  0.9586  3 Pb 2.46-2.68, 1 Ac 2.60
F  0.2954  0.2954  0.6908  1 Pb 2.34
F  0.4697  0.4697  0.2006  2 Ac 2.50, 1 Pb 2.55
F  0.5303  0.5303  0.7994  2 Ac 2.50, 1 Pb 2.55
F  0.7046  0.7046  0.3092  1 Pb 2.34
F  0.8301  0.8301  0.0414  3 Pb 2.46-2.68, 1 Ac 2.60
F  0.9012  0.9012  0.5471  2 Pb 2.51, 1 Ac 2.54, 2 F 2.72-2.79

# 10
Compound: AcPb4F10
Source: Alexandria via LeMat-Bulk
Functional: PBE-GGA
Structure: relaxed

Crystal system ... tetragonal

Lattice parameters (Å, degrees): 7.4090 7.4090 7.4090 99.90 99.90 131.01
With the nearest neighbours (Å) after each atom.
Element x y z (fractional)
Ac  0.0000  0.0000  0.0000  8 F 2.54
Pb  0.1969  0.5981  0.7950  8 F 2.60-2.71
Pb  0.4019  0.1969  0.5988  8 F 2.60-2.71
Pb  0.5981  0.8031  0.4012  8 F 2.60-2.71
Pb  0.8031  0.4019  0.2050  8 F 2.60-2.71
F  0.0409  0.1333  0.7043  1 Ac 2.54, 3 Pb 2.61-2.71
F  0.1333  0.4290  0.0924  1 Ac 2.54, 3 Pb 2.61-2.71
F  0.2500  0.7500  0.5000  4 Pb 2.60
F  0.3366  0.0409  0.9076  1 Ac 2.54, 3 Pb 2.61-2.71
F  0.4290  0.3366  0.2957  1 Ac 2.54, 3 Pb 2.61-2.71
F  0.5710  0.6634  0.7043  1 Ac 2.54, 3 Pb 2.61-2.71
F  0.6634  0.9591  0.0924  1 Ac 2.54, 3 Pb 2.61-2.71
F  0.7500  0.2500  0.5000  4 Pb 2.60
F  0.8667  0.5710  0.9076  1 Ac 2.54, 3 Pb 2.61-2.71
F  0.9591  0.8667  0.2957  1 Ac 2.54, 3 Pb 2.61-2.71

# 11
Compound: AcPd2F6
Source: Alexandria via LeMat-Bulk
Functional: PBE-GGA
Structure: relaxed

Crystal system ... monoclinic

Lattice parameters (Å, degrees): 6.7388 6.7388 5.8856 99.79 99.79 37.28
With the nearest neighbours (Å) after each atom.
Element x y z (fractional)
Ac  0.0000  0.0000  0.0000  8 F 2.41-2.67
Pd  0.2766  0.2766  0.7420  4 F 2.05-2.18
Pd  0.7234  0.7234  0.2580  4 F 2.05-2.18
F  0.1146  0.1146  0.7153  1 Pd 2.05
F  0.2017  0.2017  0.2223  2 Pd 2.18
F  0.4425  0.4425  0.7826  1 Pd 2.09
F  0.5575  0.5575  0.2174  1 Pd 2.09
F  0.7983  0.7983  0.7777  2 Pd 2.18
F  0.8854  0.8854  0.2847  1 Pd 2.05

# 12
Compound: Ac2PdF8
Source: Alexandria via LeMat-Bulk
Functional: PBE-GGA
Structure: relaxed

Crystal system ... monoclinic

Lattice parameters (Å, degrees): 7.4124 7.4124 6.1033 105.37 105.37 31.01
With the nearest neighbours (Å) after each atom.
Element x y z (fractional)
Ac  0.1666  0.1666  0.1820  8 F 2.42-2.70
Ac  0.8334  0.8334  0.8180  8 F 2.42-2.70
Pd  0.5000  0.5000  0.5000  6 F 2.30-2.36
F  0.0087  0.0087  0.2976  2 Pd 2.36, 1 Ac 2.54, 1 F 2.55
F  0.2183  0.2183  0.8209  3 Ac 2.51-2.58, 1 F 2.63
F  0.3419  0.3419  0.5239  1 Pd 2.30
F  0.4068  0.4068  0.0202  2 Ac 2.42, 1 F 2.63
F  0.5932  0.5932  0.9798  2 Ac 2.42, 1 F 2.63
F  0.6581  0.6581  0.4761  1 Pd 2.30
F  0.7817  0.7817  0.1791  3 Ac 2.51-2.58, 1 F 2.63
F  0.9913  0.9913  0.7024  2 Pd 2.36, 1 Ac 2.54, 1 F 2.55

ΔE_f (raw), record by record: -1.201; -1.114; -2.555; -1.456; -2.955; -3.648; -0.973; -1.353; -2.864; -2.683; -2.273; -3.243 eV per atom